First-principles (PBE with a Hubbard U) data for crystalline Na2MgMnO4 at its relaxed geometry, as listed in the Alexandria database.

Cell lengths 6.196, 6.196, 6.298 Å; angles 120.54, 120.54, 89.93 degrees
Site moments in Bohr magnetons follow the coordinates.
Atoms (fractional coordinates):
Na1 0.500 0.000 0.000  0.00
Na2 0.500 0.000 0.500  0.00
Na3 0.000 0.000 0.500  0.00
Na4 0.500 0.500 0.000  0.00
Mg1 0.000 0.500 0.000  0.01
Mg2 0.000 0.500 0.500  0.01
Mn1 0.500 0.500 0.500  3.26
Mn2 0.000 0.000 0.000  3.26
O1 0.203 0.756 0.979  -0.03
O2 0.744 0.297 0.521  -0.03
O3 0.256 0.703 0.479  -0.03
O4 0.797 0.244 0.021  -0.03
O5 0.757 0.743 0.958  -0.11
O6 0.757 0.743 0.542  -0.11
O7 0.243 0.257 0.458  -0.11
O8 0.243 0.257 0.042  -0.11

Results
space group	Imma

***

First-principles (PBE with a Hubbard U) data for crystalline NaMg14MnO16 at its relaxed geometry, as listed in the Alexandria database.

Cell lengths 4.301, 8.493, 8.585 Å; angles 90.00, 90.00, 90.00 degrees
Site moments in Bohr magnetons follow the coordinates.
Atoms (fractional coordinates):
Na1 0.000 0.500 0.000  0.00
Mg1 0.000 0.000 0.500  0.00
Mg2 0.000 0.500 0.500  0.00
Mg3 0.500 0.744 0.000  0.00
Mg4 0.500 0.256 0.000  0.00
Mg5 0.500 0.748 0.500  0.00
Mg6 0.500 0.252 0.500  0.00
Mg7 0.500 0.000 0.748  0.00
Mg8 0.500 0.500 0.752  0.00
Mg9 0.500 0.000 0.252  0.00
Mg10 0.500 0.500 0.248  0.00
Mg11 0.000 0.746 0.747  0.00
Mg12 0.000 0.254 0.747  0.00
Mg13 0.000 0.746 0.253  0.00
Mg14 0.000 0.254 0.253  0.00
Mn1 0.000 0.000 0.000  3.90
O1 0.000 0.000 0.751  0.01
O2 0.000 0.500 0.737  0.00
O3 0.000 0.000 0.249  0.01
O4 0.000 0.500 0.263  0.00
O5 0.500 0.752 0.751  0.00
O6 0.500 0.248 0.751  0.00
O7 0.500 0.752 0.249  0.00
O8 0.500 0.248 0.249  0.00
O9 0.500 0.000 0.000  0.03
O10 0.500 0.500 0.000  0.00
O11 0.500 0.000 0.500  0.00
O12 0.500 0.500 0.500  0.00
O13 0.000 0.773 0.000  -0.03
O14 0.000 0.227 0.000  -0.03
O15 0.000 0.755 0.500  0.00
O16 0.000 0.245 0.500  0.00

Results
space group	Pmmm

***

First-principles (PBE with a Hubbard U) data for crystalline Na3Mg2MnO6 at its relaxed geometry, as listed in the Alexandria database.

Cell lengths 5.295, 5.295, 5.664 Å; angles 99.05, 99.05, 120.14 degrees
Site moments in Bohr magnetons follow the coordinates.
Atoms (fractional coordinates):
Na1 0.169 0.831 0.500  0.00
Na2 0.831 0.169 0.500  0.00
Na3 0.500 0.500 0.500  0.00
Mg1 0.332 0.668 0.000  0.01
Mg2 0.668 0.332 0.000  0.01
Mn1 0.000 0.000 0.000  3.24
O1 0.933 0.621 0.799  -0.18
O2 0.754 0.754 0.197  -0.22
O3 0.067 0.379 0.201  -0.18
O4 0.621 0.933 0.799  -0.18
O5 0.246 0.246 0.803  -0.22
O6 0.379 0.067 0.201  -0.18

Results
D(E_F)	8.576	states/eV/f.u.
space group	C2/m

***

First-principles (PBE with a Hubbard U) data for crystalline NaMg30MnO32 at its relaxed geometry, as listed in the Alexandria database.

Cell lengths 8.516, 8.516, 8.581 Å; angles 90.00, 90.00, 90.00 degrees
Site moments in Bohr magnetons follow the coordinates.
Atoms (fractional coordinates):
Na1 0.500 0.500 0.000  0.00
Mg1 0.000 0.500 0.000  0.00
Mg2 0.500 0.000 0.000  0.00
Mg3 0.000 0.000 0.500  0.00
Mg4 0.000 0.500 0.500  0.00
Mg5 0.500 0.000 0.500  0.00
Mg6 0.500 0.500 0.500  0.00
Mg7 0.254 0.254 0.000  0.00
Mg8 0.254 0.746 0.000  0.00
Mg9 0.746 0.254 0.000  0.00
Mg10 0.746 0.746 0.000  0.00
Mg11 0.251 0.251 0.500  0.00
Mg12 0.251 0.749 0.500  0.00
Mg13 0.749 0.251 0.500  0.00
Mg14 0.749 0.749 0.500  0.00
Mg15 0.000 0.251 0.254  0.00
Mg16 0.000 0.749 0.254  0.00
Mg17 0.500 0.252 0.249  0.00
Mg18 0.500 0.748 0.249  0.00
Mg19 0.000 0.251 0.746  0.00
Mg20 0.000 0.749 0.746  0.00
Mg21 0.500 0.252 0.751  0.00
Mg22 0.500 0.748 0.751  0.00
Mg23 0.251 0.000 0.254  0.00
Mg24 0.252 0.500 0.249  0.00
Mg25 0.749 0.000 0.254  0.00
Mg26 0.748 0.500 0.249  0.00
Mg27 0.251 0.000 0.746  0.00
Mg28 0.252 0.500 0.751  0.00
Mg29 0.749 0.000 0.746  0.00
Mg30 0.748 0.500 0.751  0.00
Mn1 0.000 0.000 0.000  3.88
O1 0.000 0.000 0.257  0.05
O2 0.000 0.500 0.249  0.00
O3 0.500 0.000 0.249  0.00
O4 0.500 0.500 0.263  0.00
O5 0.000 0.000 0.743  0.05
O6 0.000 0.500 0.751  0.00
O7 0.500 0.000 0.751  0.00
O8 0.500 0.500 0.737  0.00
O9 0.249 0.249 0.249  0.00
O10 0.249 0.751 0.249  0.00
O11 0.751 0.249 0.249  0.00
O12 0.751 0.751 0.249  0.00
O13 0.249 0.249 0.751  0.00
O14 0.249 0.751 0.751  0.00
O15 0.751 0.249 0.751  0.00
O16 0.751 0.751 0.751  0.00
O17 0.000 0.236 0.000  -0.02
O18 0.000 0.764 0.000  -0.02
O19 0.500 0.235 0.000  0.00
O20 0.500 0.765 0.000  0.00
O21 0.000 0.250 0.500  0.00
O22 0.000 0.750 0.500  0.00
O23 0.500 0.247 0.500  0.00
O24 0.500 0.753 0.500  0.00
O25 0.236 0.000 0.000  -0.02
O26 0.235 0.500 0.000  0.00
O27 0.764 0.000 0.000  -0.02
O28 0.765 0.500 0.000  0.00
O29 0.250 0.000 0.500  0.00
O30 0.247 0.500 0.500  0.00
O31 0.750 0.000 0.500  0.00
O32 0.753 0.500 0.500  0.00

Results
space group	P4/mmm

***

Record order is preserved below.
Calculated total energy: -5.7568 -6.0014 -5.5242 -5.9901 eV/atom